No. 1
A relaxed structure of SrIr2Rh. Source: Alexandria, functional GGA-PBE.

Structure (POSCAR):
```
SrIr2Rh
1.0
4.708 0.000 0.000
0.000 4.708 0.000
0.000 0.000 17.633
Sr Ir Rh
4 8 4
direct
0.000 0.000 0.000
0.000 0.500 0.250
0.500 0.000 0.750
0.500 0.500 0.500
0.075 0.250 0.625
0.250 0.575 0.875
0.250 0.925 0.375
0.425 0.250 0.125
0.575 0.750 0.125
0.750 0.075 0.375
0.750 0.425 0.875
0.925 0.750 0.625
0.000 0.000 0.500
0.000 0.500 0.750
0.500 0.000 0.250
0.500 0.500 0.000
```

Output
The space-group type is No. 122. Its total energy is -6.3636 eV/atom. The crystal system is tetragonal. The formation energy is 325 meV/atom. The value obtained for the size of the total moment is 0.00 μB/cell.

No. 2
A relaxed structure of InHRh3. Source: Alexandria, functional GGA-PBE.

Structure (POSCAR):
```
InHRh3
1.0
0.000 5.253 5.253
5.253 0.000 5.253
5.253 5.253 0.000
In H Rh
4 4 12
direct
0.000 0.000 0.000
0.000 0.000 0.500
0.000 0.500 0.000
0.500 0.000 0.000
0.000 0.500 0.500
0.500 0.000 0.500
0.500 0.500 0.000
0.500 0.500 0.500
0.190 0.190 0.560
0.190 0.560 0.190
0.190 0.560 0.560
0.440 0.440 0.810
0.440 0.810 0.440
0.440 0.810 0.810
0.560 0.190 0.190
0.560 0.190 0.560
0.560 0.560 0.190
0.810 0.440 0.440
0.810 0.440 0.810
0.810 0.810 0.440
```

Output
The space-group type is No. 227. Its total energy is -5.6482 eV/atom. The crystal system is cubic. The value obtained for the size of the total moment is 0.00 μB/cell.

No. 3
A relaxed structure of Ta2CuRu. Source: Alexandria, functional GGA-PBE.

Structure (POSCAR):
```
Ta2CuRu
1.0
2.830 0.000 0.000
-1.415 2.451 0.000
0.000 0.000 27.515
Ta Cu Ru
6 3 3
direct
0.000 0.000 0.250
0.000 0.000 0.750
0.333 0.667 0.417
0.333 0.667 0.917
0.667 0.333 0.083
0.667 0.333 0.583
0.000 0.000 0.000
0.333 0.667 0.667
0.667 0.333 0.333
0.000 0.000 0.500
0.333 0.667 0.167
0.667 0.333 0.833
```

Output
The space-group type is No. 166. Its total energy is -9.1189 eV/atom. The crystal system is trigonal. The formation energy is 150 meV/atom. The value obtained for the size of the total moment is 0.00 μB/cell.

No. 4
A relaxed structure of CeZnSbN. Source: Alexandria, functional GGA-PBE.

Structure (POSCAR):
```
CeZnSbN
1.0
3.465 0.000 0.000
0.000 3.465 0.000
0.000 0.000 13.124
Ce Zn Sb N
2 2 2 2
direct
0.000 0.000 0.000
0.500 0.500 0.500
0.000 0.000 0.688
0.500 0.500 0.188
0.000 0.000 0.293
0.500 0.500 0.793
0.000 0.000 0.539
0.500 0.500 0.039
```

Output
The space-group type is No. 107. Its total energy is -5.4913 eV/atom. The crystal system is tetragonal. The value obtained for the formation energy (no corrections) is -0.58 eV/atom. The value obtained for the size of the total moment is 1.43 μB/cell.

No. 5
A relaxed structure of CaSn2RuAu. Source: Alexandria, functional GGA-PBE.

Structure (POSCAR):
```
CaSn2RuAu
1.0
5.632 0.000 0.000
0.000 5.632 0.000
0.000 0.000 4.606
Ca Sn Ru Au
1 2 1 1
direct
0.000 0.000 0.000
0.000 0.500 0.000
0.500 0.000 0.000
0.000 0.000 0.500
0.500 0.500 0.500
```

Output
The space-group type is No. 123. Its total energy is -3.2062 eV/atom. The crystal system is tetragonal. The formation energy is 1306 meV/atom. The value obtained for the size of the total moment is 0.48 μB/cell.

No. 6
A relaxed structure of DyCo3H6. Source: Alexandria, functional GGA-PBE.

Structure (POSCAR):
```
DyCo3H6
1.0
2.189 1.264 4.668
-2.189 1.264 4.668
0.000 -2.528 4.668
Dy Co H
1 3 6
direct
0.000 0.000 0.000
0.208 0.208 0.208
0.543 0.543 0.543
0.811 0.811 0.811
0.174 0.431 0.793
0.431 0.793 0.174
0.444 0.955 0.455
0.455 0.444 0.955
0.793 0.174 0.431
0.955 0.455 0.444
```

Output
The space-group type is No. 146. Its total energy is -4.8111 eV/atom. The crystal system is trigonal. The value obtained for the size of the total moment is 1.79 μB/cell.

No. 7
A relaxed structure of InNiRh2. Source: Alexandria, functional GGA-PBE.

Structure (POSCAR):
```
InNiRh2
1.0
2.829 0.000 0.000
0.000 4.254 0.000
-1.383 0.000 5.035
In Ni Rh
1 1 2
direct
0.000 0.000 0.000
0.500 0.000 0.500
0.358 0.500 0.729
0.642 0.500 0.271
```

Output
The space-group type is No. 10. Its total energy is -5.8060 eV/atom. The crystal system is monoclinic. The formation energy is 0 meV/atom. The value obtained for the size of the total moment is 0.41 μB/cell.

No. 8
A relaxed structure of Cs2LiTlBr6. Source: Alexandria, functional GGA-PBE.

Structure (POSCAR):
```
Cs2LiTlBr6
1.0
0.000 5.592 5.592
5.592 0.000 5.592
5.592 5.592 0.000
Cs Li Tl Br
2 1 1 6
direct
0.250 0.250 0.250
0.750 0.750 0.750
0.000 0.000 0.000
0.500 0.500 0.500
0.249 0.249 0.751
0.249 0.751 0.249
0.249 0.751 0.751
0.751 0.249 0.249
0.751 0.249 0.751
0.751 0.751 0.249
```

Output
The space-group type is No. 225. Its total energy is -2.8312 eV/atom. The crystal system is cubic. The value obtained for the formation energy (no corrections) is -1.23 eV/atom. The value obtained for the size of the total moment is 0.00 μB/cell.

No. 9
A relaxed structure of TmMgCuRh. Source: Alexandria, functional GGA-PBE.

Structure (POSCAR):
```
TmMgCuRh
1.0
6.578 0.000 0.000
0.000 6.578 0.000
0.000 0.000 6.578
Tm Mg Cu Rh
4 4 4 4
direct
0.000 0.000 0.000
0.000 0.500 0.500
0.500 0.000 0.500
0.500 0.500 0.000
0.000 0.000 0.500
0.000 0.500 0.000
0.500 0.000 0.000
0.500 0.500 0.500
0.250 0.250 0.250
0.250 0.750 0.750
0.750 0.250 0.750
0.750 0.750 0.250
0.250 0.250 0.750
0.250 0.750 0.250
0.750 0.250 0.250
0.750 0.750 0.750
```

Output
The space-group type is No. 216. Its total energy is -4.8545 eV/atom. The crystal system is cubic. The formation energy is -476 meV/atom. The value obtained for the size of the total moment is 0.00 μB/cell.

No. 10
A relaxed structure of ErMgO2. Source: Alexandria, functional GGA-PBE.

Structure (POSCAR):
```
ErMgO2
1.0
3.141 0.000 0.000
-1.570 2.720 0.000
0.000 0.000 16.509
Er Mg O
3 3 6
direct
0.000 0.000 0.000
0.333 0.667 0.667
0.667 0.333 0.333
0.000 0.000 0.500
0.333 0.667 0.167
0.667 0.333 0.833
0.000 0.000 0.238
0.000 0.000 0.762
0.333 0.667 0.428
0.333 0.667 0.905
0.667 0.333 0.095
0.667 0.333 0.572
```

Output
The space-group type is No. 166. Its total energy is -6.6267 eV/atom. The crystal system is trigonal. The value obtained for the formation energy (no corrections) is -2.61 eV/atom. The value obtained for the size of the total moment is 0.00 μB/cell.

No. 11
A relaxed structure of Cs9K2Ag3. Source: Alexandria, functional GGA-PBE.

Structure (POSCAR):
```
Cs9K2Ag3
1.0
10.663 -6.067 0.000
10.663 6.067 0.000
-7.159 0.000 15.614
Cs K Ag
18 4 6
direct
0.015 0.200 0.049
0.083 0.648 0.251
0.146 0.329 0.434
0.182 0.818 0.750
0.200 0.015 0.549
0.329 0.146 0.934
0.352 0.917 0.249
0.379 0.501 0.069
0.499 0.621 0.431
0.501 0.379 0.569
0.621 0.499 0.931
0.648 0.083 0.751
0.671 0.854 0.066
0.800 0.985 0.451
0.818 0.182 0.250
0.854 0.671 0.566
0.917 0.352 0.749
0.985 0.800 0.951
0.245 0.417 0.750
0.417 0.245 0.250
0.583 0.755 0.750
0.755 0.583 0.250
0.000 0.500 0.000
0.160 0.675 0.500
0.325 0.840 0.000
0.500 0.000 0.500
0.675 0.160 0.000
0.840 0.325 0.500
```

Output
The space-group type is No. 15. Its total energy is -1.2592 eV/atom. The crystal system is monoclinic. The formation energy is 57 meV/atom. The value obtained for the size of the total moment is 0.00 μB/cell.

No. 12
A relaxed structure of ZrSiRu2. Source: Alexandria, functional GGA-PBE.

Structure (POSCAR):
```
ZrSiRu2
1.0
6.312 0.000 0.000
0.000 6.312 0.000
0.000 0.000 6.312
Zr Si Ru
4 4 8
direct
0.000 0.000 0.000
0.000 0.500 0.500
0.500 0.000 0.500
0.500 0.500 0.000
0.250 0.250 0.750
0.250 0.750 0.250
0.750 0.250 0.250
0.750 0.750 0.750
0.000 0.000 0.500
0.000 0.500 0.000
0.250 0.250 0.250
0.250 0.750 0.750
0.500 0.000 0.000
0.500 0.500 0.500
0.750 0.250 0.750
0.750 0.750 0.250
```

Output
The space-group type is No. 216. Its total energy is -8.2064 eV/atom. The crystal system is cubic. The value obtained for the formation energy (no corrections) is -0.08 eV/atom. The value obtained for the size of the total moment is 4.86 μB/cell.

No. 13
A relaxed structure of KNaPm2Cl8. Source: Alexandria, functional GGA-PBE.

Structure (POSCAR):
```
KNaPm2Cl8
1.0
6.795 0.000 0.000
0.000 8.572 0.000
-0.470 0.000 6.829
K Na Pm Cl
1 1 2 8
direct
0.000 0.000 0.000
0.000 0.500 0.000
0.500 0.254 0.500
0.500 0.746 0.500
0.222 0.270 0.205
0.222 0.730 0.205
0.309 0.500 0.674
0.316 0.000 0.666
0.684 0.000 0.334
0.691 0.500 0.326
0.778 0.270 0.795
0.778 0.730 0.795
```

Output
The space-group type is No. 10. Its total energy is -4.3589 eV/atom. The crystal system is monoclinic. The value obtained for the formation energy (no corrections) is -2.13 eV/atom. The value obtained for the size of the total moment is 0.00 μB/cell.

No. 14
A relaxed structure of CsSeF3. Source: Alexandria, functional GGA-PBE.

Structure (POSCAR):
```
CsSeF3
1.0
-3.399 3.399 5.013
3.399 -3.399 5.013
3.399 3.399 -5.013
Cs Se F
2 2 6
direct
0.250 0.750 0.500
0.750 0.250 0.500
0.000 0.000 0.000
0.500 0.500 0.000
0.194 0.194 0.000
0.293 0.293 0.586
0.293 0.707 0.000
0.707 0.293 0.000
0.707 0.707 0.414
0.806 0.806 0.000
```

Output
The space-group type is No. 139. Its total energy is -3.7976 eV/atom. The crystal system is tetragonal. The value obtained for the formation energy (no corrections) is -1.81 eV/atom. The value obtained for the size of the total moment is 2.00 μB/cell.

No. 15
A relaxed structure of Nd8Ir3RhCl4. Source: Alexandria, functional GGA-PBE.

Structure (POSCAR):
```
Nd8Ir3RhCl4
1.0
7.146 -4.127 0.000
7.146 4.127 0.000
-4.777 0.000 7.552
Nd Ir Rh Cl
8 3 1 4
direct
0.234 0.735 0.703
0.235 0.235 0.703
0.265 0.265 0.296
0.265 0.766 0.297
0.735 0.234 0.703
0.735 0.735 0.704
0.765 0.765 0.297
0.766 0.265 0.297
0.000 0.000 0.500
0.000 0.500 0.500
0.500 0.000 0.500
0.500 0.500 0.500
0.000 0.000 0.000
0.000 0.500 0.000
0.500 0.000 0.000
0.500 0.500 0.000
```

Output
The space-group type is No. 12. Its total energy is -6.1524 eV/atom. The crystal system is monoclinic. The value obtained for the formation energy (no corrections) is -1.19 eV/atom. The value obtained for the size of the total moment is 0.00 μB/cell.

No. 16
A relaxed structure of CsLiAu3. Source: Alexandria, functional GGA-PBE.

Structure (POSCAR):
```
CsLiAu3
1.0
6.298 0.000 0.000
0.000 6.298 0.000
0.000 0.000 6.298
Cs Li Au
1 1 3
direct
0.000 0.000 0.000
0.500 0.500 0.500
0.000 0.000 0.500
0.000 0.500 0.000
0.500 0.000 0.000
```

Output
The space-group type is No. 221. Its total energy is -1.6432 eV/atom. The crystal system is cubic. The formation energy is 877 meV/atom. The value obtained for the size of the total moment is 0.00 μB/cell.

No. 17
A relaxed structure of YMnCd2. Source: Alexandria, functional GGA-PBE.

Structure (POSCAR):
```
YMnCd2
1.0
3.470 0.000 0.000
0.000 3.470 0.000
0.000 0.000 7.311
Y Mn Cd
1 1 2
direct
0.000 0.000 0.000
0.000 0.000 0.500
0.500 0.500 0.289
0.500 0.500 0.711
```

Output
The space-group type is No. 123. Its total energy is -4.3716 eV/atom. The crystal system is tetragonal. The formation energy is -6 meV/atom. The value obtained for the size of the total moment is 3.63 μB/cell.

No. 18
A relaxed structure of CaTb2Si6. Source: Alexandria, functional GGA-PBE.

Structure (POSCAR):
```
CaTb2Si6
1.0
7.091 0.000 0.000
-3.545 6.141 0.000
0.000 0.000 4.042
Ca Tb Si
1 2 6
direct
0.000 0.000 0.000
0.333 0.667 0.000
0.667 0.333 0.000
0.000 0.335 0.500
0.000 0.665 0.500
0.335 0.000 0.500
0.335 0.335 0.500
0.665 0.000 0.500
0.665 0.665 0.500
```

Output
The space-group type is No. 191. Its total energy is -5.3191 eV/atom. The crystal system is hexagonal. The value obtained for the formation energy (no corrections) is -0.45 eV/atom. The value obtained for the size of the total moment is 0.00 μB/cell.

No. 19
A relaxed structure of Y2TlPb2. Source: Alexandria, functional GGA-PBE.

Structure (POSCAR):
```
Y2TlPb2
1.0
8.215 0.000 0.000
0.000 8.215 0.000
0.000 0.000 4.379
Y Tl Pb
4 2 4
direct
0.174 0.326 0.000
0.326 0.826 0.000
0.674 0.174 0.000
0.826 0.674 0.000
0.000 0.000 0.500
0.500 0.500 0.500
0.130 0.630 0.500
0.370 0.130 0.500
0.630 0.870 0.500
0.870 0.370 0.500
```

Output
The space-group type is No. 127. Its total energy is -4.8813 eV/atom. The crystal system is tetragonal. The formation energy is -339 meV/atom. The value obtained for the size of the total moment is 0.00 μB/cell.

No. 20
A relaxed structure of SrMo2Pt. Source: Alexandria, functional GGA-PBE.

Structure (POSCAR):
```
SrMo2Pt
1.0
4.376 0.000 0.000
0.000 4.376 0.000
0.000 0.000 19.990
Sr Mo Pt
4 8 4
direct
0.000 0.000 0.000
0.000 0.500 0.250
0.500 0.000 0.750
0.500 0.500 0.500
0.095 0.250 0.625
0.250 0.595 0.875
0.250 0.905 0.375
0.405 0.250 0.125
0.595 0.750 0.125
0.750 0.095 0.375
0.750 0.405 0.875
0.905 0.750 0.625
0.000 0.000 0.500
0.000 0.500 0.750
0.500 0.000 0.250
0.500 0.500 0.000
```

Output
The space-group type is No. 122. Its total energy is -6.6602 eV/atom. The crystal system is tetragonal. The formation energy is 686 meV/atom. The value obtained for the size of the total moment is 0.00 μB/cell.